[1]
YTlCd2 at its PBEsol-relaxed geometry, computed with SCAN.

a b c (Å): 3.540 3.540 7.534
angles (deg): 90.00 90.00 90.00
Sites, in units of the cell vectors:
Y 0.000 0.000 0.000
Tl 0.500 0.500 0.726
Cd 0.000 0.000 0.475
Cd 0.500 0.500 0.262

- SG: P4mm (99)
- Energy above the lowest structure with this stoichiometry: 0.146 eV per atom

---

[2]
RbGeTeI2 at its PBEsol-relaxed geometry, computed with SCAN.

a b c (Å): 6.368 6.368 6.331
angles (deg): 90.00 90.00 90.00
Sites, in units of the cell vectors:
Rb 0.000 0.000 0.000
Ge 0.500 0.500 0.500
Te 0.000 0.000 0.500
I 0.000 0.500 0.000
I 0.500 0.000 0.000

- SG: P4/mmm (123)
- Final energy: -147.40 eV for the cell shown

---

[3]
Na3TeH at its PBEsol-relaxed geometry, computed with SCAN.

a b c (Å): 4.694 4.694 4.694
angles (deg): 90.00 90.00 90.00
Sites, in units of the cell vectors:
Na 0.000 0.000 0.500
Na 0.000 0.500 0.000
Na 0.500 0.000 0.000
Te 0.500 0.500 0.500
H 0.000 0.000 0.000

- SG: Pm-3m (221)
- Final energy: -57.19 eV for the cell shown

---

[4]
ZrIN2Cl at its PBEsol-relaxed geometry, computed with SCAN.

a b c (Å): 4.111 4.111 6.202
angles (deg): 90.00 90.00 90.00
Sites, in units of the cell vectors:
Zr 0.000 0.000 0.000
I 0.000 0.000 0.500
N 0.000 0.500 0.000
N 0.500 0.000 0.000
Cl 0.500 0.500 0.500

- SG: P4/mmm (123)
- Final energy: -92.02 eV for the cell shown

---

[5]
SrInNi at its PBEsol-relaxed geometry, computed with SCAN.

a b c (Å): 4.714 4.714 4.714
angles (deg): 60.00 60.00 60.00
Sites, in units of the cell vectors:
Sr 0.000 0.000 0.000
In 0.500 0.500 0.500
Ni 0.250 0.250 0.250

- SG: F-43m (216)
- Final energy: -71.95 eV for the cell shown

---

[6]
Ho4CdNi at its PBEsol-relaxed geometry, computed with SCAN.

a b c (Å): 9.316 9.316 9.316
angles (deg): 60.00 60.00 60.00
Sites, in units of the cell vectors:
Ho 0.186 0.186 0.814
Ho 0.186 0.814 0.186
Ho 0.186 0.814 0.814
Ho 0.401 0.401 0.401
Ho 0.401 0.401 0.796
Ho 0.401 0.796 0.401
Ho 0.561 0.561 0.939
Ho 0.561 0.939 0.561
Ho 0.561 0.939 0.939
Ho 0.796 0.401 0.401
Ho 0.814 0.186 0.186
Ho 0.814 0.186 0.814
Ho 0.814 0.814 0.186
Ho 0.939 0.561 0.561
Ho 0.939 0.561 0.939
Ho 0.939 0.939 0.561
Cd 0.169 0.169 0.169
Cd 0.169 0.169 0.493
Cd 0.169 0.493 0.169
Cd 0.493 0.169 0.169
Ni 0.178 0.607 0.607
Ni 0.607 0.178 0.607
Ni 0.607 0.607 0.178
Ni 0.607 0.607 0.607

- SG: F-43m (216)
- Final energy: -978.98 eV for the cell shown

---

[7]
ScCuRuF2 at its PBEsol-relaxed geometry, computed with SCAN.

a b c (Å): 3.697 3.697 6.061
angles (deg): 90.00 90.00 90.00
Sites, in units of the cell vectors:
Sc 0.000 0.000 0.000
Cu 0.000 0.000 0.500
Ru 0.500 0.500 0.000
F 0.000 0.500 0.500
F 0.500 0.000 0.500

- SG: P4/mmm (123)
- Final energy: -73.86 eV for the cell shown

---

[8]
Cd2HgPb at its PBEsol-relaxed geometry, computed with SCAN.

a b c (Å): 3.291 5.410 5.417
angles (deg): 90.00 90.00 90.00
Sites, in units of the cell vectors:
Cd 0.000 0.000 0.000
Cd 0.500 0.500 0.000
Hg 0.000 0.500 0.500
Pb 0.500 0.000 0.500

- SG: Pmmm (47)
- Energy above the lowest structure with this stoichiometry: 0.032 eV per atom

---

[9]
BaCdAs2O7 at its PBEsol-relaxed geometry, computed with SCAN.

a b c (Å): 5.823 7.329 7.742
angles (deg): 100.32 90.61 97.48
Sites, in units of the cell vectors:
Ba 0.199 0.274 0.431
Ba 0.801 0.726 0.569
Cd 0.187 0.165 0.898
Cd 0.813 0.835 0.102
As 0.289 0.668 0.898
As 0.315 0.776 0.316
As 0.685 0.224 0.684
As 0.711 0.332 0.102
O 0.088 0.819 0.889
O 0.092 0.906 0.319
O 0.214 0.453 0.777
O 0.284 0.612 0.114
O 0.287 0.645 0.474
O 0.419 0.096 0.673
O 0.439 0.226 0.126
O 0.561 0.774 0.874
O 0.581 0.904 0.327
O 0.713 0.355 0.526
O 0.716 0.388 0.886
O 0.786 0.547 0.223
O 0.908 0.094 0.681
O 0.912 0.181 0.111

- SG: P-1 (2)
- Final energy: -348.76 eV for the cell shown

---

[10]
TiNiP2O at its PBEsol-relaxed geometry, computed with SCAN.

a b c (Å): 4.446 4.446 3.470
angles (deg): 90.00 90.00 90.00
Sites, in units of the cell vectors:
Ti 0.000 0.000 0.000
Ni 0.500 0.500 0.500
P 0.000 0.500 0.500
P 0.500 0.000 0.500
O 0.500 0.500 0.000

- SG: P4/mmm (123)
- Final energy: -59.82 eV for the cell shown

---

[11]
BeAlIrS2 at its PBEsol-relaxed geometry, computed with SCAN.

a b c (Å): 4.626 4.626 4.708
angles (deg): 90.00 90.00 90.00
Sites, in units of the cell vectors:
Be 0.000 0.000 0.000
Al 0.500 0.500 0.000
Ir 0.500 0.500 0.500
S 0.000 0.500 0.500
S 0.500 0.000 0.500

- SG: P4/mmm (123)
- Final energy: -98.25 eV for the cell shown

---

[12]
Si2HgBr at its PBEsol-relaxed geometry, computed with SCAN.

a b c (Å): 3.528 3.528 7.180
angles (deg): 90.00 90.00 90.00
Sites, in units of the cell vectors:
Si 0.000 0.000 0.000
Si 0.500 0.500 0.034
Hg 0.000 0.000 0.649
Br 0.500 0.500 0.373

- SG: P4mm (99)
- Energy above the lowest structure with this stoichiometry: 0.025 eV per atom

---

[13]
Be2FeAs at its PBEsol-relaxed geometry, computed with SCAN.

a b c (Å): 3.483 3.483 3.304
angles (deg): 90.00 90.00 90.00
Sites, in units of the cell vectors:
Be 0.000 0.500 0.000
Be 0.500 0.000 0.000
Fe 0.000 0.000 0.500
As 0.500 0.500 0.500

- SG: P4/mmm (123)
- Energy above the lowest structure with this stoichiometry: 0.000 eV per atom

---

[14]
Sm2Se2O at its PBEsol-relaxed geometry, computed with SCAN.

a b c (Å): 8.634 7.156 7.169
angles (deg): 90.00 100.39 90.00
Sites, in units of the cell vectors:
Sm 0.072 0.151 0.329
Sm 0.072 0.349 0.829
Sm 0.357 0.552 0.248
Sm 0.357 0.948 0.748
Sm 0.643 0.052 0.252
Sm 0.643 0.448 0.752
Sm 0.928 0.651 0.171
Sm 0.928 0.849 0.671
Se 0.183 0.624 0.574
Se 0.183 0.876 0.074
Se 0.423 0.220 0.471
Se 0.423 0.280 0.971
Se 0.577 0.720 0.029
Se 0.577 0.780 0.529
Se 0.817 0.124 0.926
Se 0.817 0.376 0.426
O 0.113 0.085 0.650
O 0.113 0.415 0.150
O 0.887 0.585 0.850
O 0.887 0.915 0.350

- SG: P2_1/c (14)
- Final energy: -596.18 eV for the cell shown

---

[15]
KMo2Au at its PBEsol-relaxed geometry, computed with SCAN.

a b c (Å): 6.513 6.513 6.513
angles (deg): 156.90 133.98 52.10
Sites, in units of the cell vectors:
K 0.000 0.000 0.000
Mo 0.286 0.786 0.500
Mo 0.714 0.214 0.500
Au 0.500 0.500 0.000

- SG: Immm (71)
- Energy above the lowest structure with this stoichiometry: 0.077 eV per atom

---

[16]
CdIn2Ni at its PBEsol-relaxed geometry, computed with SCAN.

a b c (Å): 5.559 5.559 3.246
angles (deg): 105.35 105.35 115.79
Sites, in units of the cell vectors:
Cd 0.000 0.000 0.000
In 0.000 0.500 0.000
In 0.500 0.000 0.000
Ni 0.500 0.500 0.000

- SG: C2/m (12)
- Final energy: -112.26 eV for the cell shown

---

[17]
SrAsO3 at its PBEsol-relaxed geometry, computed with SCAN.

a b c (Å): 4.409 4.409 4.409
angles (deg): 90.00 90.00 90.00
Sites, in units of the cell vectors:
Sr 0.000 0.000 0.000
As 0.500 0.500 0.500
O 0.000 0.000 0.500
O 0.000 0.500 0.000
O 0.500 0.000 0.000

- SG: Pm-3m (221)
- Final energy: -60.59 eV for the cell shown

---

[18]
Sc2GaReNi at its PBEsol-relaxed geometry, computed with SCAN.

a b c (Å): 4.695 4.695 4.401
angles (deg): 90.00 90.00 90.00
Sites, in units of the cell vectors:
Sc 0.000 0.500 0.000
Sc 0.500 0.000 0.000
Ga 0.000 0.000 0.500
Re 0.500 0.500 0.500
Ni 0.500 0.500 0.000

- SG: P4/mmm (123)
- Final energy: -130.59 eV for the cell shown

---

[19]
TcBF2 at its PBEsol-relaxed geometry, computed with SCAN.

a b c (Å): 10.161 10.161 10.161
angles (deg): 14.43 14.43 14.43
Sites, in units of the cell vectors:
Tc 0.000 0.000 0.000
B 0.500 0.500 0.500
F 0.456 0.456 0.456
F 0.544 0.544 0.544

- SG: R-3m (166)
- Final energy: -51.29 eV for the cell shown

---

[20]
AuS3O at its PBEsol-relaxed geometry, computed with SCAN.

a b c (Å): 4.803 4.803 4.803
angles (deg): 90.00 90.00 90.00
Sites, in units of the cell vectors:
Au 0.000 0.000 0.000
S 0.000 0.000 0.500
S 0.000 0.500 0.000
S 0.500 0.000 0.000
O 0.500 0.500 0.500

- SG: Pm-3m (221)
- Final energy: -97.62 eV for the cell shown

---

[21]
LiZrAl2 at its PBEsol-relaxed geometry, computed with SCAN.

a b c (Å): 10.138 10.138 10.138
angles (deg): 157.64 157.64 31.83
Sites, in units of the cell vectors:
Li 0.000 0.000 0.000
Li 0.750 0.250 0.500
Zr 0.250 0.750 0.500
Zr 0.500 0.500 0.000
Al 0.123 0.625 0.998
Al 0.375 0.373 0.498
Al 0.627 0.125 0.002
Al 0.875 0.877 0.502

- SG: I-42d (122)
- Final energy: -94.92 eV for the cell shown

---

[22]
BaCaRe at its PBEsol-relaxed geometry, computed with SCAN.

a b c (Å): 4.949 4.949 4.949
angles (deg): 60.00 60.00 60.00
Sites, in units of the cell vectors:
Ba 0.000 0.000 0.000
Ca 0.750 0.750 0.750
Re 0.250 0.250 0.250

- SG: F-43m (216)
- Energy above the lowest structure with this stoichiometry: 0.655 eV per atom

---

[23]
MgCrHg2 at its PBEsol-relaxed geometry, computed with SCAN.

a b c (Å): 3.632 3.632 5.903
angles (deg): 90.00 90.00 90.00
Sites, in units of the cell vectors:
Mg 0.000 0.000 0.000
Cr 0.500 0.500 0.274
Hg 0.000 0.000 0.479
Hg 0.500 0.500 0.776

- SG: P4mm (99)
- Final energy: -159.84 eV for the cell shown

---

[24]
Na2Cu4S3 at its PBEsol-relaxed geometry, computed with SCAN.

a b c (Å): 8.162 8.162 10.100
angles (deg): 107.54 107.54 26.61
Sites, in units of the cell vectors:
Na 0.168 0.168 0.341
Na 0.313 0.313 0.157
Na 0.687 0.687 0.843
Na 0.832 0.832 0.659
Cu 0.085 0.085 0.585
Cu 0.089 0.089 0.008
Cu 0.476 0.476 0.867
Cu 0.483 0.483 0.617
Cu 0.517 0.517 0.383
Cu 0.524 0.524 0.133
Cu 0.911 0.911 0.992
Cu 0.915 0.915 0.415
S 0.027 0.027 0.771
S 0.336 0.336 0.887
S 0.350 0.350 0.454
S 0.650 0.650 0.546
S 0.664 0.664 0.113
S 0.973 0.973 0.229

- SG: C2/m (12)
- Final energy: -207.18 eV for the cell shown

---

[25]
ScN at its PBEsol-relaxed geometry, computed with SCAN.

a b c (Å): 3.162 3.162 3.162
angles (deg): 60.00 60.00 60.00
Sites, in units of the cell vectors:
Sc 0.000 0.000 0.000
N 0.500 0.500 0.500

- SG: Fm-3m (225)
- Final energy: -27.98 eV for the cell shown

---

[26]
TcIrSe2F at its PBEsol-relaxed geometry, computed with SCAN.

a b c (Å): 4.691 4.691 4.717
angles (deg): 90.00 90.00 90.00
Sites, in units of the cell vectors:
Tc 0.000 0.000 0.000
Ir 0.000 0.000 0.500
Se 0.000 0.500 0.000
Se 0.500 0.000 0.000
F 0.500 0.500 0.500

- SG: P4/mmm (123)
- Final energy: -145.88 eV for the cell shown

---

N(E_F): 1.86, 4.56, 0.00, 3.39, 1.64, 18.27, 2.05, 1.33, 0.00, 3.45, 4.51, 1.60, 1.23, 0.00, 2.40, 1.65, 2.99, 4.30, 1.43, 3.46, 4.55, 1.62, 1.54, 0.34, 0.00, 3.29 (states/eV per cell)